# LiCe6Te8 (GGA-PBE, relaxed)
# Theoretical density ... 6.15 g cm⁻³
# Crystal system ... cubic
# Formation energy without anion corrections ... -1307 meV/atom
# Total magnetic moment ... 6.396 μB/f.u.
data_LiCe6Te8
_cell_length_a 12.638
_cell_length_b 12.638
_cell_length_c 12.638
_cell_angle_alpha 90.00
_cell_angle_beta 90.00
_cell_angle_gamma 90.00
_space_group_name_H-M_alt 'F m -3 m'
_space_group_IT_number 225
_space_group_name_Hall '-F 4 2 3'
loop_
_atom_site_label
_atom_site_type_symbol
_atom_site_fract_x
_atom_site_fract_y
_atom_site_fract_z
Li1 Li 0.000 0.000 0.000
Ce1 Ce 0.000 0.250 0.250
Te1 Te 0.000 0.000 0.247
Te2 Te 0.250 0.250 0.250